Li6V3P8O29: optimized geometry, PBE+U.

Values from the calculation:
electronic total energy	-7.0221	eV per atom
relative energy among the computed polymorphs	0.0024	eV/atom

Geometry as POSCAR:
```
Li6V3P8O29
1.0
-3.114 1.123 9.248
1.236 -7.285 6.594
12.466 5.560 3.877
Li P O V
12 16 58 6
direct
0.943 0.299 0.565
0.223 0.108 0.435
0.903 0.795 0.064
0.228 0.954 0.038
0.644 0.149 0.983
0.092 0.221 0.940
0.966 0.034 0.472
0.599 0.574 0.430
0.098 0.676 0.450
0.787 0.889 0.564
0.216 0.685 0.932
0.662 0.656 0.897
0.083 0.238 0.158
0.315 0.366 0.364
0.242 0.067 0.646
0.230 0.693 0.148
0.783 0.909 0.348
0.690 0.639 0.632
0.352 0.312 0.866
0.322 0.894 0.826
0.102 0.666 0.667
0.900 0.333 0.337
0.279 0.807 0.333
0.649 0.698 0.135
0.781 0.299 0.845
0.717 0.203 0.658
0.904 0.763 0.845
0.690 0.104 0.176
0.923 0.741 0.336
0.151 0.833 0.404
0.250 0.139 0.197
0.106 0.508 0.687
0.068 0.164 0.070
0.079 0.682 0.153
0.686 0.631 0.526
0.232 0.958 0.729
0.408 0.045 0.647
0.251 0.452 0.456
0.377 0.535 0.167
0.241 0.760 0.054
0.269 0.637 0.666
0.655 0.682 0.029
0.467 0.174 0.796
0.636 0.465 0.830
0.623 0.914 0.334
0.766 0.014 0.087
0.488 0.877 0.817
0.559 0.360 0.665
0.184 0.335 0.855
0.200 0.027 0.554
0.825 0.192 0.578
0.343 0.730 0.837
0.992 0.233 0.420
0.432 0.647 0.339
0.806 0.189 0.756
0.688 0.063 0.657
0.342 0.196 0.365
0.012 0.745 0.580
0.673 0.266 0.175
0.969 0.231 0.241
0.884 0.619 0.828
0.040 0.408 0.144
0.414 0.269 0.963
0.505 0.852 0.171
0.928 0.323 0.842
0.011 0.772 0.758
0.470 0.358 0.328
0.911 0.481 0.326
0.989 0.754 0.934
0.643 0.559 0.185
0.799 0.011 0.265
0.226 0.001 0.906
0.540 0.648 0.680
0.725 0.382 0.347
0.350 0.463 0.829
0.839 0.488 0.668
0.191 0.460 0.285
0.775 0.220 0.932
0.320 0.938 0.341
0.794 0.975 0.442
0.111 0.236 0.674
0.801 0.696 0.170
0.528 0.121 0.197
0.214 0.818 0.227
0.741 0.911 0.838
0.697 0.788 0.664
0.453 0.543 0.746
0.434 0.022 0.265
0.553 0.456 0.251
0.013 0.418 0.757
0.574 0.983 0.740
0.994 0.572 0.237
```